Crystalline LiCo2C2O7 at its relaxed geometry. Source: Alexandria via LeMat-Bulk, functional GGA+U.

Properties
- Polymorph energy (0 for the lowest one): 30 meV/atom
- Crystal system: monoclinic
- Final energy: -6.73 eV/atom

Cell lengths 8.4847, 8.4847, 7.8972 Å; angles 89.86, 89.86, 58.61 degrees
Closest atoms and distances in Å follow each position.
Atoms (fractional coordinates):
C (0.7029, 0.3786, 0.3108)  3 O 1.29-1.31
Co (0.2863, 0.3242, 0.7975)  1 O 1.72
Co (0.6438, 0.6209, 0.7671)  4 O 1.87-2.03
O (0.3527, 0.3171, 0.0042)  2 Co 1.72-1.87
O (0.0767, 0.9233, 0.5000)  2 Co 1.82, 1 Li 2.03
C (0.6214, 0.2971, 0.6892)  3 O 1.29-1.31
O (0.7220, 0.3694, 0.6945)  1 C 1.29
Co (0.3791, 0.3562, 0.2329)  4 O 1.87-2.03
O (0.8823, 0.2979, 0.2956)  1 C 1.31
O (0.9518, 0.8631, 0.1896)  1 C 1.28
Co (0.9738, 0.9727, 0.7100)  4 O 1.82-2.00
O (0.9387, 0.6154, 0.2695)  1 C 1.30
C (0.3007, 0.9701, 0.7487)  3 O 1.28-1.31
C (0.3649, 0.0412, 0.3076)  3 O 1.28-1.32
O (0.5441, 0.9405, 0.3355)  1 C 1.32
O (0.6033, 0.5559, 0.3326)  1 C 1.30
O (0.0331, 0.7169, 0.7614)  1 C 1.28
Li (0.6056, 0.9759, 0.5859)  4 O 1.96-2.11
O (0.1369, 0.0482, 0.8104)  1 C 1.28
C (0.0299, 0.6993, 0.2513)  3 O 1.28-1.31
O (0.2023, 0.6126, 0.3010)  1 C 1.31
O (0.7021, 0.1177, 0.7044)  1 C 1.31
O (0.2831, 0.9669, 0.2386)  1 C 1.28
Co (0.6758, 0.7137, 0.2025)  1 O 1.72
O (0.4441, 0.3967, 0.6674)  1 C 1.30
O (0.0595, 0.4559, 0.6645)  1 C 1.32
O (0.2803, 0.2132, 0.3528)  1 C 1.30
Co (0.0273, 0.0262, 0.2900)  4 O 1.82-2.00
C (0.9588, 0.6351, 0.6924)  3 O 1.28-1.32
O (0.7868, 0.7197, 0.6472)  1 C 1.30
O (0.6829, 0.6473, 0.9958)  2 Co 1.72-1.87
Li (0.0241, 0.3944, 0.4141)  4 O 1.96-2.11
Li (0.3210, 0.6790, 0.5000)  3 O 2.03-2.10
O (0.6306, 0.2780, 0.3055)  1 C 1.29
O (0.3846, 0.0613, 0.7305)  1 C 1.30
O (0.3874, 0.7977, 0.6990)  1 C 1.31